Entry 1:
Below is crystalline PrSm2Ni8Pt at its relaxed geometry, with properties calculated at the GGA-PBE level.

## Properties
E_form	-438	meV per atom
total DFT energy (no corrections)	-5.84	eV/atom
space-group type	R-3m (166)

Cell and atoms, written as CIF:
```
data_PrSm2Ni8Pt
_cell_length_a 8.842
_cell_length_b 8.842
_cell_length_c 8.842
_cell_angle_alpha 33.19
_cell_angle_beta 33.19
_cell_angle_gamma 33.19
_symmetry_space_group_name_H-M 'P 1'
_symmetry_Int_Tables_number 1
_symmetry_space_group_name_Hall 'P 1'
loop_
_atom_site_label
_atom_site_fract_x
_atom_site_fract_y
_atom_site_fract_z
Pr1 0.000 0.000 0.000
Sm1 0.137 0.137 0.137
Sm2 0.863 0.863 0.863
Ni1 0.077 0.581 0.581
Ni2 0.333 0.333 0.333
Ni3 0.419 0.419 0.923
Ni4 0.419 0.923 0.419
Ni5 0.581 0.077 0.581
Ni6 0.581 0.581 0.077
Ni7 0.667 0.667 0.667
Ni8 0.923 0.419 0.419
Pt1 0.500 0.500 0.500
```

Entry 2:
Below is crystalline PrSm2Ni6Pt3 at its relaxed geometry, with properties calculated at the GGA-PBE level.

## Properties
E_form	-567	meV per atom
total DFT energy (no corrections)	-6.05	eV/atom
space-group type	R-3m (166)

Cell and atoms, written as CIF:
```
data_PrSm2Ni6Pt3
_cell_length_a 9.021
_cell_length_b 9.021
_cell_length_c 9.021
_cell_angle_alpha 33.30
_cell_angle_beta 33.30
_cell_angle_gamma 33.30
_symmetry_space_group_name_H-M 'P 1'
_symmetry_Int_Tables_number 1
_symmetry_space_group_name_Hall 'P 1'
loop_
_atom_site_label
_atom_site_fract_x
_atom_site_fract_y
_atom_site_fract_z
Pr1 0.000 0.000 0.000
Sm1 0.139 0.139 0.139
Sm2 0.861 0.861 0.861
Ni1 0.080 0.586 0.586
Ni2 0.414 0.414 0.920
Ni3 0.414 0.920 0.414
Ni4 0.586 0.080 0.586
Ni5 0.586 0.586 0.080
Ni6 0.920 0.414 0.414
Pt1 0.333 0.333 0.333
Pt2 0.500 0.500 0.500
Pt3 0.667 0.667 0.667
```

Entry 3:
Below is crystalline Pr2SmNi7Pt2 at its relaxed geometry, with properties calculated at the GGA-PBE level.

## Properties
E_form	-440	meV per atom
total DFT energy (no corrections)	-5.89	eV/atom
space-group type	R-3m (166)

Cell and atoms, written as CIF:
```
data_Pr2SmNi7Pt2
_cell_length_a 8.947
_cell_length_b 8.947
_cell_length_c 8.947
_cell_angle_alpha 33.31
_cell_angle_beta 33.31
_cell_angle_gamma 33.31
_symmetry_space_group_name_H-M 'P 1'
_symmetry_Int_Tables_number 1
_symmetry_space_group_name_Hall 'P 1'
loop_
_atom_site_label
_atom_site_fract_x
_atom_site_fract_y
_atom_site_fract_z
Pr1 0.139 0.139 0.139
Pr2 0.861 0.861 0.861
Sm1 0.000 0.000 0.000
Ni1 0.086 0.584 0.584
Ni2 0.416 0.416 0.914
Ni3 0.416 0.914 0.416
Ni4 0.500 0.500 0.500
Ni5 0.584 0.086 0.584
Ni6 0.584 0.584 0.086
Ni7 0.914 0.416 0.416
Pt1 0.332 0.332 0.332
Pt2 0.668 0.668 0.668
```